Entry 1:
The following is a DFT calculation (PBE-GGA) of Nb2CrBiAs after structural relaxation.

a = 5.2129 Å, b = 5.2129 Å, c = 4.7771 Å
α = 90.00°, β = 90.00°, γ = 90.00°
Closest atoms and distances in Å follow each position.
Positions (direct):
Nb 0.0000 0.5000 0.0000  2 Bi 2.61
Nb 0.5000 0.0000 0.0000  2 Bi 2.61
Cr 0.0000 0.0000 0.5000  2 Bi 2.39
Bi 0.0000 0.0000 0.0000  2 Cr 2.39, 4 Nb 2.61
As 0.5000 0.5000 0.5000  8 Nb 3.54, 4 Cr 3.69

- formation energy from the elements (eV per atom) = 2.0575
- DOS(E_F) (states/eV per cell) = 9.4
- E (eV per atom) = -5.6011
- density (kg/m3) = 6673
- volume (Å³/cell) = 129.8
- space-group type = No. 123

Entry 2:
The following is a DFT calculation (PBE-GGA) of CrNi7Bi2As2 after structural relaxation.

a = 14.4951 Å, b = 14.4951 Å, c = 14.4951 Å
α = 165.38°, β = 165.38°, γ = 20.73°
Closest atoms and distances in Å follow each position.
Positions (direct):
Cr 0.0000 0.0000 0.0000  12 Ni 2.52-2.61
Ni 0.0604 0.5604 0.5000  2 As 2.35, 2 Cr 2.52, 6 Ni 2.52-2.61
Ni 0.3078 0.3078 0.0000  1 As 2.30
Ni 0.4396 0.9396 0.5000  2 As 2.35, 2 Cr 2.52, 6 Ni 2.52-2.61
Ni 0.5000 0.5000 0.0000  8 Ni 2.52, 4 Cr 2.61
Ni 0.5604 0.0604 0.5000  2 As 2.35, 2 Cr 2.52, 6 Ni 2.52-2.61
Ni 0.6922 0.6922 0.0000  1 As 2.30
Ni 0.9396 0.4396 0.5000  2 As 2.35, 2 Cr 2.52, 6 Ni 2.52-2.61
Bi 0.2095 0.2095 0.0000  5 Ni 2.65-2.80
Bi 0.7905 0.7905 0.0000  5 Ni 2.65-2.80
As 0.3885 0.3885 0.0000  5 Ni 2.30-2.35
As 0.6115 0.6115 0.0000  5 Ni 2.30-2.35

- formation energy from the elements (eV per atom) = -0.0521
- DOS(E_F) (states/eV per cell) = 11.9
- E (eV per atom) = -5.6482
- density (kg/m3) = 8827
- volume (Å³/cell) = 193.9
- space-group type = No. 139

- Which formula does entry 1 have?
  Nb2CrBiAs

- Which of these has the highest density?
  CrNi7Bi2As2

Copy entry 2 word for word.
The following is a DFT calculation (PBE-GGA) of CrNi7Bi2As2 after structural relaxation.

a = 14.4951 Å, b = 14.4951 Å, c = 14.4951 Å
α = 165.38°, β = 165.38°, γ = 20.73°
Closest atoms and distances in Å follow each position.
Positions (direct):
Cr 0.0000 0.0000 0.0000  12 Ni 2.52-2.61
Ni 0.0604 0.5604 0.5000  2 As 2.35, 2 Cr 2.52, 6 Ni 2.52-2.61
Ni 0.3078 0.3078 0.0000  1 As 2.30
Ni 0.4396 0.9396 0.5000  2 As 2.35, 2 Cr 2.52, 6 Ni 2.52-2.61
Ni 0.5000 0.5000 0.0000  8 Ni 2.52, 4 Cr 2.61
Ni 0.5604 0.0604 0.5000  2 As 2.35, 2 Cr 2.52, 6 Ni 2.52-2.61
Ni 0.6922 0.6922 0.0000  1 As 2.30
Ni 0.9396 0.4396 0.5000  2 As 2.35, 2 Cr 2.52, 6 Ni 2.52-2.61
Bi 0.2095 0.2095 0.0000  5 Ni 2.65-2.80
Bi 0.7905 0.7905 0.0000  5 Ni 2.65-2.80
As 0.3885 0.3885 0.0000  5 Ni 2.30-2.35
As 0.6115 0.6115 0.0000  5 Ni 2.30-2.35

- formation energy from the elements (eV per atom) = -0.0521
- DOS(E_F) (states/eV per cell) = 11.9
- E (eV per atom) = -5.6482
- density (kg/m3) = 8827
- volume (Å³/cell) = 193.9
- space-group type = No. 139